i.
Density functional theory data (PBE) for an optimized crystal structure of Tb3Pr7.

Calculated values
Spin magnetization = 0.00 μB per cell

a b c (Å): 9.714 9.714 7.324
angles (deg): 101.12 101.12 31.00
Atoms (fractional coordinates):
Tb1 0.000 0.000 0.000
Tb2 0.201 0.201 0.600
Tb3 0.799 0.799 0.400
Pr1 0.000 0.000 0.500
Pr2 0.200 0.200 0.101
Pr3 0.399 0.399 0.699
Pr4 0.400 0.400 0.201
Pr5 0.600 0.600 0.799
Pr6 0.601 0.601 0.301
Pr7 0.800 0.800 0.899



ii.
Density functional theory data (PBE) for an optimized crystal structure of Tb3Pr7.

Calculated values
Spin magnetization = 0.00 μB per cell

a b c (Å): 11.366 11.366 6.309
angles (deg): 90.00 90.00 120.00
Atoms (fractional coordinates):
Tb1 0.219 0.438 0.000
Tb2 0.219 0.781 0.000
Tb3 0.438 0.219 0.500
Tb4 0.562 0.781 0.000
Tb5 0.781 0.219 0.500
Tb6 0.781 0.562 0.500
Pr1 0.054 0.527 0.618
Pr2 0.117 0.234 0.488
Pr3 0.117 0.883 0.488
Pr4 0.234 0.117 0.988
Pr5 0.333 0.667 0.415
Pr6 0.473 0.527 0.618
Pr7 0.473 0.946 0.618
Pr8 0.527 0.054 0.118
Pr9 0.527 0.473 0.118
Pr10 0.667 0.333 0.915
Pr11 0.766 0.883 0.488
Pr12 0.883 0.117 0.988
Pr13 0.883 0.766 0.988
Pr14 0.946 0.473 0.118



Which structure is the most stable? The one labeled i.



i.
Density functional theory data (PBE) for an optimized crystal structure of TbPr2.

Calculated values
Spin magnetization = 0.00 μB per cell

a b c (Å): 5.581 5.581 5.581
angles (deg): 120.27 120.27 89.54
Atoms (fractional coordinates):
Tb1 0.000 0.000 0.000
Pr1 0.250 0.750 0.500
Pr2 0.750 0.250 0.500



ii.
Density functional theory data (PBE) for an optimized crystal structure of TbPr2.

Calculated values
Spin magnetization = 0.00 μB per cell

a b c (Å): 6.732 6.732 6.732
angles (deg): 60.00 60.00 60.00
Atoms (fractional coordinates):
Tb1 0.125 0.125 0.125
Tb2 0.875 0.875 0.875
Pr1 0.000 0.500 0.500
Pr2 0.500 0.000 0.500
Pr3 0.500 0.500 0.000
Pr4 0.500 0.500 0.500



Which structure is the most stable? The one labeled ii.



i.
Density functional theory data (PBE) for an optimized crystal structure of TbPr4.

Calculated values
Spin magnetization = 0.27 μB per cell

a b c (Å): 5.892 5.892 5.892
angles (deg): 90.00 90.00 90.00
Atoms (fractional coordinates):
Tb1 0.000 0.000 0.000
Pr1 0.000 0.000 0.500
Pr2 0.000 0.500 0.000
Pr3 0.500 0.000 0.000
Pr4 0.500 0.500 0.500



ii.
Density functional theory data (PBE) for an optimized crystal structure of TbPr4.

Calculated values
Spin magnetization = 0.00 μB per cell

a b c (Å): 13.267 13.267 13.267
angles (deg): 164.01 164.01 22.69
Atoms (fractional coordinates):
Tb1 0.000 0.000 0.000
Pr1 0.199 0.199 0.000
Pr2 0.402 0.402 0.000
Pr3 0.598 0.598 0.000
Pr4 0.801 0.801 0.000



Which structure is the most stable? The one labeled ii.